Here is a relaxed structure of KTl2InGa from Alexandria. Energies are from PBE-GGA.

a b c (Å): 5.8475 5.8475 6.3775
angles (deg): 90.00 90.00 90.00
Space group P4/mmm (No. 123)
Inequivalent atoms, fractional coordinates:
K1 0.0000 0.0000 0.0000 (multiplicity 1)
Tl1 0.0000 0.5000 0.5000 (multiplicity 2)
In1 0.0000 0.0000 0.5000 (multiplicity 1)
Ga1 0.5000 0.5000 0.0000 (multiplicity 1)

Excess energy over the best structure of this formula in the dataset: 1.61 eV/f.u.
Energy relative to the elements: 0.414 eV/atom
VASP energy: -1.905 eV per atom
DOS at the Fermi energy: 5.5 states/eV/f.u.

***

Here is a relaxed structure of Sr2CuSi from Alexandria. Energies are from PBE-GGA.

a b c (Å): 6.1744 4.3907 8.9468
angles (deg): 90.00 108.01 90.00
Space group P2_1/m (No. 11)
Inequivalent atoms, fractional coordinates:
Sr1 0.2120 0.2500 0.4230 (multiplicity 2)
Sr2 0.2883 0.7500 0.0645 (multiplicity 2)
Cu1 0.1982 0.2500 0.7658 (multiplicity 2)
Si1 0.3333 0.7500 0.7183 (multiplicity 2)

Formation energy from raw total energies: -103 kJ/mol of formula units
VASP energy: -3.489 eV per atom
DOS at the Fermi energy: 2.6 states/eV/f.u.

***

Here is a relaxed structure of LiAg12Pd2 from Alexandria. Energies are from PBE-GGA.

a b c (Å): 5.3311 5.3311 20.7251
angles (deg): 90.00 90.00 90.00
Space group P4/nbm (No. 125, origin choice 2)
Inequivalent atoms, fractional coordinates:
Li1 0.2500 0.7500 0.0000 (multiplicity 2)
Ag1 0.0627 0.5627 0.1108 (multiplicity 8)
Ag2 0.0708 0.5708 0.5621 (multiplicity 8)
Ag3 0.2500 0.2500 0.2116 (multiplicity 4)
Ag4 0.2500 0.2500 0.3392 (multiplicity 4)
Pd1 0.2500 0.7500 0.2817 (multiplicity 4)

Energy relative to the elements: 0.197 eV/atom
VASP energy: -2.904 eV per atom
DOS at the Fermi energy: 3.5 states/eV/f.u.

***

Here is a relaxed structure of Lu2AlSn from Alexandria. Energies are from PBE-GGA.

a b c (Å): 3.4820 3.4820 28.6639
angles (deg): 90.00 90.00 120.00
Space group R-3m (No. 166, hexagonal axes)
Inequivalent atoms, fractional coordinates:
Lu1 0.0000 0.0000 0.2445 (multiplicity 6)
Al1 0.0000 0.0000 0.5000 (multiplicity 3)
Sn1 0.0000 0.0000 0.0000 (multiplicity 3)

Energy relative to the elements: -0.324 eV/atom
VASP energy: -4.521 eV per atom
DOS at the Fermi energy: 2.4 states/eV/f.u.